# 1
This record from Alexandria describes crystalline CaV4P4O20 at its relaxed geometry. The functional is PBE+U.

Structure (POSCAR):
```
CaV4P4O20
1.0
-4.458 -0.880 -2.720
1.232 -4.772 -5.457
-2.977 -9.467 3.002
Ca V P O
1 4 4 20
Cartesian
-3.101 -7.559 -2.588
-1.598 -6.238 -4.844
-1.488 -4.733 1.501
-1.613 -2.826 -4.089
-4.605 -8.881 -0.331
-2.085 -12.085 -3.176
-4.117 -3.034 -2.000
-5.564 -10.156 -3.297
-0.638 -4.963 -1.879
-4.175 -8.211 1.368
0.299 -6.200 -5.184
-4.789 -6.991 -0.978
-4.884 -10.189 -4.683
-4.451 -4.378 -1.285
-5.538 -11.527 -2.577
-3.269 -3.335 -3.255
-1.650 -4.447 -4.932
-6.502 -8.918 0.008
-2.576 -8.811 -0.766
-2.027 -6.907 -6.544
-1.399 -5.992 -2.758
-4.552 -10.672 -0.244
-2.933 -11.784 -1.920
-3.626 -6.308 -4.410
-1.752 -10.741 -3.891
-1.318 -4.930 -0.493
-1.414 -8.128 -4.198
-4.803 -9.127 -2.418
-0.664 -3.592 -2.598
```

Summary:
The density is 3.2 g/cm³. The total magnetic moment comes out at 2.00 μB per formula unit.

# 2
This record from Alexandria describes crystalline CaV2P2O8 at its relaxed geometry. The functional is PBE+U.

Structure (POSCAR):
```
CaV2P2O8
1.0
-0.644 -4.906 -0.901
0.272 -4.052 7.826
-15.822 -0.800 1.621
Ca V P O
4 8 8 32
Cartesian
-13.704 -8.063 7.215
-10.465 -5.645 5.774
-5.729 -4.112 2.772
-2.490 -1.695 1.331
-15.547 -4.794 2.786
-8.984 -5.556 2.249
-0.646 -4.964 5.759
0.136 -2.026 3.913
-7.210 -4.201 6.296
-3.951 -4.761 5.995
-12.242 -4.997 2.551
-8.233 -2.853 0.360
-13.909 -5.470 5.478
-9.733 -3.161 4.002
-2.285 -4.288 3.068
-2.049 -7.553 6.596
-5.851 -0.890 1.150
-10.343 -8.868 7.396
-6.461 -6.597 4.543
-14.144 -2.205 1.950
-2.088 -5.641 2.341
-14.768 -6.268 8.511
-9.781 -7.441 7.179
-8.923 -3.258 2.659
-1.006 -3.420 2.778
-11.076 -3.907 3.956
-15.014 -2.560 3.209
-1.987 -4.094 7.288
-7.270 -6.500 5.886
-8.928 -3.837 5.140
-2.362 -4.493 4.598
-5.150 -5.602 0.958
-1.425 -3.489 0.035
-10.569 -6.541 3.437
-14.105 -4.117 6.205
-13.831 -5.265 3.947
-12.689 -6.229 6.012
-1.180 -7.198 5.336
-10.708 -5.148 1.077
-11.044 -4.156 7.587
-5.625 -3.217 5.108
-8.665 -4.964 7.663
-14.206 -5.664 1.258
-3.159 -6.528 6.875
-7.266 -5.921 3.405
-6.412 -2.316 1.366
-3.505 -3.529 2.533
-7.529 -4.794 0.882
-15.188 -6.338 5.768
-13.034 -3.230 1.671
-5.118 -5.851 4.590
-5.485 -4.610 7.468
```

Summary:
The density is 3.3 g/cm³. The total magnetic moment comes out at 6.00 μB per formula unit.

# 3
This record from Alexandria describes crystalline CaVP2O at its relaxed geometry. The functional is PBE+U.

Structure (POSCAR):
```
CaVP2O
1.0
-1.469 -4.790 -1.417
4.458 -0.592 -2.623
1.802 -1.563 3.416
P Ca O V
2 1 1 1
Cartesian
2.229 -0.296 -1.311
-0.734 -2.395 -0.708
0.000 0.000 0.000
0.901 -0.782 1.708
2.396 -3.472 -0.311
```

Summary:
The density is 2.5 g/cm³. The value obtained for the distance to the lowest polymorph of the same formula is 1.319 eV per atom. The total magnetic moment comes out at 4.27 μB per formula unit.

# 4
This record from Alexandria describes crystalline CaV3P4O14 at its relaxed geometry. The functional is PBE+U.

Structure (POSCAR):
```
CaV3P4O14
1.0
-3.951 -4.547 -5.031
5.688 -5.046 0.092
-1.218 -6.579 6.902
Ca V P O
2 6 8 28
Cartesian
2.844 -2.523 0.046
0.260 -8.086 0.982
3.468 -8.136 3.061
-2.594 -10.216 3.580
-2.949 -8.035 -1.098
3.113 -5.956 -1.617
0.000 0.000 0.000
-2.584 -5.563 0.936
-2.278 -10.929 0.207
0.719 -10.223 3.337
2.797 -5.243 1.757
-0.200 -5.949 -1.373
-0.927 -6.098 3.736
1.197 -12.949 2.137
1.446 -10.074 -1.772
-0.678 -3.222 -0.174
-1.186 -6.590 2.312
0.119 -13.996 1.858
1.706 -9.581 -0.348
0.400 -2.175 0.106
1.842 -9.547 2.482
-2.989 -11.131 1.586
-1.323 -6.625 -0.519
3.508 -5.041 0.377
-1.738 -9.512 0.044
1.174 -10.495 4.766
2.258 -6.659 1.920
-0.655 -5.676 -2.803
0.548 -6.635 4.104
0.395 -11.639 2.625
-0.028 -9.537 -2.140
0.125 -4.533 -0.661
1.090 -6.732 -1.163
1.840 -4.077 1.970
-0.571 -9.439 3.127
-1.320 -12.095 -0.006
2.344 -9.490 -2.866
-1.487 -3.703 1.034
-1.825 -6.681 4.830
2.006 -12.468 0.929
-1.579 -2.808 -1.344
1.377 -11.604 -1.837
2.098 -13.364 3.308
-0.858 -4.567 3.800
```

Summary:
The density is 3.4 g/cm³. The total magnetic moment comes out at 9.00 μB per formula unit.

# 5
This record from Alexandria describes crystalline CaV3P3O13 at its relaxed geometry. The functional is PBE+U.

Structure (POSCAR):
```
CaV3P3O13
1.0
-5.118 -3.925 0.132
2.729 -3.344 6.389
-4.395 5.972 7.171
Ca V P O
2 6 6 26
Cartesian
-3.782 -2.897 3.685
-3.002 1.599 10.006
-0.402 -1.941 5.558
-6.383 0.643 8.133
-2.602 0.895 4.577
-2.559 -1.962 0.066
-4.183 -2.193 9.114
0.000 0.000 0.000
-1.284 -0.689 8.584
-5.501 -0.608 5.108
-3.907 2.686 7.217
-2.877 -3.984 6.474
-5.877 0.074 10.825
-0.908 -1.371 2.866
-5.364 -0.638 9.517
-4.026 -0.573 4.624
-3.407 1.992 5.954
-4.642 0.603 11.590
-5.615 -0.409 6.621
-7.514 2.094 7.411
-1.170 -0.888 7.071
-0.102 -0.335 2.049
-0.432 -1.776 9.286
-6.353 0.479 4.405
-2.749 3.195 8.115
0.729 -3.391 6.280
-2.116 -3.020 5.526
-6.747 1.187 10.191
-3.377 -3.289 7.737
-2.143 -1.900 2.101
-5.932 -2.035 4.673
-2.759 -0.724 9.067
-4.669 1.722 8.165
-1.420 -0.659 4.174
-1.951 -5.178 6.878
-4.834 3.881 6.813
-4.036 -4.492 5.576
-6.683 -0.962 11.642
-0.853 0.738 9.018
-0.038 -2.484 3.500
```

Summary:
The density is 3.2 g/cm³. The total magnetic moment comes out at 6.00 μB per formula unit.

# 6
This record from Alexandria describes crystalline CaVP2O at its relaxed geometry. The functional is PBE+U.

Structure (POSCAR):
```
CaVP2O
1.0
4.813 0.000 0.000
0.000 4.813 0.000
0.000 0.000 3.711
P Ca O V
2 1 1 1
Cartesian
0.000 2.407 0.000
2.407 0.000 0.000
2.407 2.407 1.855
0.000 0.000 1.855
0.000 0.000 0.000
```

Summary:
The density is 3.3 g/cm³. The value obtained for the distance to the lowest polymorph of the same formula is 0.000 eV per atom. The total magnetic moment comes out at 0.00 μB per formula unit.

# 7
This record from Alexandria describes crystalline CaVP2O8 at its relaxed geometry. The functional is PBE+U.

Structure (POSCAR):
```
CaVP2O8
1.0
5.590 -0.078 0.000
-2.549 4.976 0.000
-1.520 -2.449 4.790
Ca V P O
1 1 2 8
Cartesian
-1.275 2.488 2.395
0.000 0.000 0.000
2.795 -0.039 2.395
1.520 2.449 0.000
1.554 -0.353 1.506
0.282 1.981 0.805
0.129 -1.317 3.986
3.064 -1.291 3.284
2.759 2.917 0.805
4.037 0.275 1.506
2.526 1.213 3.284
-0.129 1.317 3.986
```

Summary:
The density is 3.5 g/cm³. The total magnetic moment comes out at 0.99 μB per formula unit.

no.,total DFT energy (no corrections) (eV per atom)
1,-7.380
2,-7.529
3,-4.353
4,-7.537
5,-7.608
6,-5.672
7,-7.247